(1)
This record from the Alexandria database describes crystalline La2TbInO at its relaxed geometry. The functional is PBE.

```
La2TbInO
1.0
5.096 0.000 0.000
0.000 5.096 0.000
0.000 0.000 4.833
La Tb In O
2 1 1 1
Direct
0.000 0.500 0.000
0.500 0.000 0.000
0.000 0.000 0.500
0.500 0.500 0.500
0.000 0.000 0.000
```

**D(E_F)**: 0.491 states/eV per atom
**Formation energy without anion corrections**: -1420 meV/atom
**Final energy**: -5.8560 eV/atom
**Theoretical density**: 7.51 g/cm3

=====

(2)
This record from the Alexandria database describes crystalline Y2AgGe2 at its relaxed geometry. The functional is PBE.

```
Y2AgGe2
1.0
5.483 -2.181 0.000
5.483 2.181 0.000
-4.810 0.000 9.152
Y Ag Ge
4 2 4
Direct
0.001 0.001 0.179
0.185 0.185 0.600
0.815 0.815 0.400
0.999 0.999 0.821
0.281 0.281 0.142
0.719 0.719 0.858
0.368 0.368 0.926
0.469 0.469 0.610
0.531 0.531 0.390
0.632 0.632 0.074
```

**D(E_F)**: 0.663 states/eV per atom
**Final energy**: -5.6956 eV/atom
**Theoretical density**: 6.54 g/cm3
**Energy above the lowest structure with this stoichiometry**: 0.031 eV per atom
**Formation enthalpy at 0 K**: -0.6928 eV per atom

=====

(3)
This record from the Alexandria database describes crystalline Os3AuCl at its relaxed geometry. The functional is PBE.

```
Os3AuCl
1.0
4.368 0.000 0.000
0.000 4.368 0.000
0.000 0.000 4.368
Os Au Cl
3 1 1
Direct
0.000 0.000 0.500
0.000 0.500 0.000
0.500 0.000 0.000
0.500 0.500 0.500
0.000 0.000 0.000
```

**D(E_F)**: 1.411 states/eV per atom
**Formation energy without anion corrections**: 1951 meV/atom
**Final energy**: -5.8113 eV/atom
**Theoretical density**: 16.00 g/cm3
**Energy above the lowest structure with this stoichiometry**: 0.000 eV per atom